Entry 1:
This record from the Alexandria database describes SnHRh3 after structural relaxation. The functional is PBE.

a = 3.0681 Å, b = 3.0681 Å, c = 16.8319 Å
α = 90.00°, β = 90.00°, γ = 120.00°
Closest atoms and distances in Å follow each position.
Space group P6_3/mmc (No. 194)
Unique sites:
Sn 0.0000 0.0000 0.0000 x2  6 Rh 2.69
H 0.3333 0.6667 0.2500 x2  3 Rh 1.77
Rh 0.0000 0.0000 0.2500 x2  3 H 1.77
Rh 0.3333 0.6667 0.1200 x4  1 H 2.19

Results
- Magnetization: 0.15 μB/atom
- E above lowest polymorph: 8.18 kcal/mol of atoms


Entry 2:
This record from the Alexandria database describes SnHRh3 after structural relaxation. The functional is PBE.

a = 5.6769 Å, b = 5.6769 Å, c = 4.6171 Å
α = 90.00°, β = 90.00°, γ = 120.00°
Closest atoms and distances in Å follow each position.
Space group P6_3mc (No. 186)
Unique sites:
Sn 0.3333 0.6667 0.0000 x2  12 Rh 2.83-2.84
H 0.0000 0.0000 0.2514 x2  6 Rh 2.00-2.01
Rh 0.1667 0.3333 0.5000 x6  2 H 2.00-2.01

Results
- Magnetization: 0.00 μB/atom
- E above lowest polymorph: 1.38 kcal/mol of atoms


Entry 3:
This record from the Alexandria database describes SnHRh2 after structural relaxation. The functional is PBE.

a = 3.1277 Å, b = 3.1277 Å, c = 18.7926 Å
α = 90.00°, β = 90.00°, γ = 120.00°
Closest atoms and distances in Å follow each position.
Space group R3m (No. 160, hexagonal axes)
Unique sites:
Sn 0.0000 0.0000 0.0000 x3  6 Rh 2.66-2.73
H 0.0000 0.0000 0.8104 x3  3 Rh 1.92
Rh 0.0000 0.0000 0.2296 x3  3 H 2.42, 3 Sn 2.66
Rh 0.0000 0.0000 0.4423 x3  3 H 1.92

Results
- Magnetization: 0.00 μB/atom
- E above lowest polymorph: 2.68 kcal/mol of atoms


Entry 4:
This record from the Alexandria database describes Sn3H12Rh5 after structural relaxation. The functional is PBE.

a = 11.6561 Å, b = 11.6561 Å, c = 11.6561 Å
α = 90.00°, β = 90.00°, γ = 90.00°
Closest atoms and distances in Å follow each position.
Space group Ia-3d (No. 230)
Unique sites:
Sn 0.0000 0.2500 0.1250 x24  8 H 2.44-2.67
H 0.0502 0.1276 0.9377 x96  2 Rh 1.71-1.76
Rh 0.0000 0.0000 0.0000 x16  6 H 1.76
Rh 0.0000 0.2500 0.3750 x24  4 H 1.71

Results
- Uncorrected energy: -86.80 eV per formula unit
- Magnetization: 0.00 μB/atom


Entry 5:
This record from the Alexandria database describes SnH3Rh after structural relaxation. The functional is PBE.

a = 3.8464 Å, b = 3.8464 Å, c = 3.8464 Å
α = 90.00°, β = 90.00°, γ = 90.00°
Closest atoms and distances in Å follow each position.
Space group Pm-3m (No. 221)
Unique sites:
Sn 0.0000 0.0000 0.0000 x1  6 H 1.92
H 0.0000 0.0000 0.5000 x3  2 Sn 1.92
Rh 0.5000 0.5000 0.5000 x1  12 H 2.72

Results
- Magnetization: 0.13 μB/atom
- E above lowest polymorph: 22.07 kcal/mol of atoms


Entry 6:
This record from the Alexandria database describes SnHRh3 after structural relaxation. The functional is PBE.

a = 9.4558 Å, b = 11.1444 Å, c = 5.0109 Å
α = 90.00°, β = 92.87°, γ = 90.00°
Closest atoms and distances in Å follow each position.
Space group C2/c (No. 15)
Unique sites:
Sn 0.1465 0.0769 0.0694 x8  8 Rh 2.63-2.84
H 0.0000 0.3082 0.7500 x4  6 Rh 2.02-2.11
H 0.0000 0.4518 0.2500 x4  6 Rh 1.98-2.11
Rh 0.1208 0.1740 0.5695 x8  1 H 2.11
Rh 0.1219 0.3120 0.0936 x8  2 H 2.02-2.11
Rh 0.1232 0.4314 0.5772 x8  3 H 1.98-2.02

Results
- Magnetization: 0.00 μB/atom
- E above lowest polymorph: 4.64 kcal/mol of atoms


Entry 7:
This record from the Alexandria database describes SnHRh3 after structural relaxation. The functional is PBE.

a = 5.2299 Å, b = 7.2432 Å, c = 7.4337 Å
α = 90.00°, β = 90.00°, γ = 90.00°
Closest atoms and distances in Å follow each position.
Space group Pnma (No. 62)
Unique sites:
Sn 0.0000 0.0000 0.0000 x4  6 Rh 2.62-2.73
H 0.0545 0.2500 0.4223 x4  1 Rh 1.71
Rh 0.0508 0.5785 0.3415 x8  2 H 2.22-2.45, 1 Rh 2.49
Rh 0.2265 0.7500 0.6960 x4  1 H 1.71

Results
- Magnetization: 0.00 μB/atom
- E above lowest polymorph: 6.76 kcal/mol of atoms


Entry 8:
This record from the Alexandria database describes SnHRh3 after structural relaxation. The functional is PBE.

a = 5.6144 Å, b = 4.1051 Å, c = 5.6420 Å
α = 90.00°, β = 90.04°, γ = 90.00°
Closest atoms and distances in Å follow each position.
Space group Pm (No. 6)
Unique sites:
Sn 0.0000 0.0000 0.0000 x1  2 H 2.19
Sn 0.4760 0.0000 0.5009 x1  12 Rh 2.77-2.85
H 0.8642 0.5000 0.0022 x1  2 Rh 1.67
H 0.9891 0.5000 0.5006 x1  6 Rh 1.96-2.05
Rh 0.2308 0.5000 0.2493 x1  1 H 1.96
Rh 0.2318 0.5000 0.7513 x1  1 H 1.96
Rh 0.4903 0.0000 0.0009 x1  4 Sn 2.75-2.86, 8 Rh 2.83-2.88, 2 H 2.94
Rh 0.7184 0.5000 0.2602 x1  1 H 1.67
Rh 0.7197 0.5000 0.7428 x1  1 H 1.67
Rh 0.9824 0.0000 0.5003 x1  2 H 2.05

Results
- Magnetization: 0.00 μB/atom
- E above lowest polymorph: 2.66 kcal/mol of atoms


Which of these has the highest magnetization? number 1